# 1
## AlCo2Au (PBE-GGA)

Data for crystalline AlCo2Au at its relaxed geometry.

Geometry as CIF:
```
data_AlCo2Au
_chemical_formula_sum 'Al3 Co6 Au3'
_cell_length_a 2.7297
_cell_length_b 2.7297
_cell_length_c 25.2948
_cell_angle_alpha 90.00
_cell_angle_beta 90.00
_cell_angle_gamma 120.00
_symmetry_space_group_name_H-M 'R -3 m'
_symmetry_Int_Tables_number 166
_symmetry_space_group_name_Hall '-R 3 2"'
loop_
_atom_site_label
_atom_site_fract_x
_atom_site_fract_y
_atom_site_fract_z
Al1 0.0000 0.0000 0.0000
Co1 0.0000 0.0000 0.2569
Au1 0.0000 0.0000 0.5000
```

# 2
# AlCoAu3 | Alexandria | PBE-GGA | relaxed
# Polymorph energy (0 for the lowest one) = 0 meV per atom
data_AlCoAu3
_chemical_formula_sum 'Al1 Co1 Au3'
_cell_length_a 4.800
_cell_length_b 4.800
_cell_length_c 4.800
_cell_angle_alpha 90.00
_cell_angle_beta 90.00
_cell_angle_gamma 90.00
_symmetry_space_group_name_H-M 'P m -3 m'
_symmetry_Int_Tables_number 221
_symmetry_space_group_name_Hall '-P 4 2 3'
loop_
_atom_site_label
_atom_site_fract_x
_atom_site_fract_y
_atom_site_fract_z
Al1 0.000 0.000 0.000
Co1 0.500 0.500 0.500
Au1 0.000 0.500 0.500

# 3
## AlCo4Au (PBE-GGA)

Data for crystalline AlCo4Au at its relaxed geometry.

Geometry as CIF:
```
data_AlCo4Au
_chemical_formula_sum 'Al4 Co16 Au4'
_cell_length_a 6.746
_cell_length_b 6.746
_cell_length_c 6.746
_cell_angle_alpha 90.00
_cell_angle_beta 90.00
_cell_angle_gamma 90.00
_symmetry_space_group_name_H-M 'F -4 3 m'
_symmetry_Int_Tables_number 216
_symmetry_space_group_name_Hall 'F -4 2 3'
loop_
_atom_site_label
_atom_site_fract_x
_atom_site_fract_y
_atom_site_fract_z
Al1 0.000 0.000 0.000
Co1 0.125 0.125 0.375
Au1 0.250 0.250 0.750
```

# 4
## AlCoAu (PBE-GGA)

Data for crystalline AlCoAu at its relaxed geometry.

Geometry as CIF:
```
data_AlCoAu
_chemical_formula_sum 'Al2 Co2 Au2'
_cell_length_a 2.950
_cell_length_b 2.950
_cell_length_c 9.666
_cell_angle_alpha 90.00
_cell_angle_beta 90.00
_cell_angle_gamma 90.00
_symmetry_space_group_name_H-M 'I 4 m m'
_symmetry_Int_Tables_number 107
_symmetry_space_group_name_Hall 'I 4 -2'
loop_
_atom_site_label
_atom_site_fract_x
_atom_site_fract_y
_atom_site_fract_z
Al1 0.000 0.000 0.000
Co1 0.000 0.000 0.373
Au1 0.000 0.000 0.685
```

| no. | calculated formation energy (eV/atom) | raw total energy (eV per atom) | calculated density (g/cm³) |
| --- | --- | --- | --- |
| 1 | 0.054 | -5.254 | 10.43 |
| 2 | 0.719 | -3.417 | 10.16 |
| 3 | 0.038 | -5.869 | 9.95 |
| 4 | -0.214 | -4.922 | 11.17 |